(1)
DFT (PBE) results for a geometry-optimized BeIF3 structure.

Results
- Formation energy (no corrections): -31.613 kcal/mol of atoms
- Offset from the most stable computed form: 0.0 meV per atom
- Energy: -3.55 eV/atom

Cell: 3.980 3.980 3.980 Å, 90.00 90.00 90.00°
Site moments in Bohr magnetons follow the coordinates.
Fractional positions:
F (0.500, 0.000, 0.000)  0.17
F (0.000, 0.000, 0.500)  0.19
F (0.000, 0.500, 0.000)  0.11
I (0.500, 0.500, 0.500)  1.12
Be (0.000, 0.000, 0.000)  -0.01



(2)
DFT (PBE) results for a geometry-optimized Tl3Se2S structure.

Results
- Formation energy (no corrections): -5.384 kcal/mol of atoms
- Offset from the most stable computed form: 0.0 meV per atom
- Energy: -3.27 eV/atom

Cell: 6.445 8.248 7.345 Å, 106.41 116.02 90.00°
Fractional positions:
Tl (0.548, 0.750, 0.000)
Tl (0.164, 0.081, 0.324)
Tl (0.452, 0.250, 0.000)
Tl (0.836, 0.919, 0.676)
Tl (0.840, 0.419, 0.676)
Tl (0.160, 0.581, 0.324)
Se (0.657, 0.579, 0.315)
Se (0.342, 0.921, 0.685)
Se (0.658, 0.079, 0.315)
Se (0.343, 0.421, 0.685)
S (0.015, 0.250, 0.000)
S (0.985, 0.750, 0.000)



What did the second record say?
DFT (PBE) results for a geometry-optimized Tl3Se2S structure.

Results
- Formation energy (no corrections): -5.384 kcal/mol of atoms
- Offset from the most stable computed form: 0.0 meV per atom
- Energy: -3.27 eV/atom

Cell: 6.445 8.248 7.345 Å, 106.41 116.02 90.00°
Fractional positions:
Tl (0.548, 0.750, 0.000)
Tl (0.164, 0.081, 0.324)
Tl (0.452, 0.250, 0.000)
Tl (0.836, 0.919, 0.676)
Tl (0.840, 0.419, 0.676)
Tl (0.160, 0.581, 0.324)
Se (0.657, 0.579, 0.315)
Se (0.342, 0.921, 0.685)
Se (0.658, 0.079, 0.315)
Se (0.343, 0.421, 0.685)
S (0.015, 0.250, 0.000)
S (0.985, 0.750, 0.000)